(1)
The following is a PBE-GGA calculation of a geometry-optimized Sm3Sc4 structure, from Alexandria.

As for the space group: Immm (71). The formation energy is 58 meV per atom. The calculation puts the spin magnetization at 0.000 μB/atom. The calculated volume comes out at 393.8 Å³/cell.

a b c (Å): 3.4720 4.6642 24.3169
angles (deg): 90.00 90.00 90.00
With the nearest neighbours (Å) after each atom.
Fractional coordinates of all 14 atoms:
Sm: 0.0000 0.0000 0.0000  8 Sc 3.40, 4 Sm 3.47-3.50
Sm: 0.0000 0.0000 0.1441  9 Sc 3.36-3.41, 3 Sm 3.47-3.50
Sm: 0.0000 0.0000 0.8559  9 Sc 3.36-3.41, 3 Sm 3.47-3.50
Sm: 0.5000 0.5000 0.3559  9 Sc 3.36-3.41, 3 Sm 3.47-3.50
Sm: 0.5000 0.5000 0.5000  8 Sc 3.40, 4 Sm 3.47-3.50
Sm: 0.5000 0.5000 0.6441  9 Sc 3.36-3.41, 3 Sm 3.47-3.50
Sc: 0.0000 0.0000 0.2824  7 Sc 3.31-3.52, 5 Sm 3.36-3.41
Sc: 0.0000 0.0000 0.4274  8 Sm 3.39-3.40, 4 Sc 3.47-3.53
Sc: 0.0000 0.0000 0.5726  8 Sm 3.39-3.40, 4 Sc 3.47-3.53
Sc: 0.0000 0.0000 0.7176  7 Sc 3.31-3.52, 5 Sm 3.36-3.41
Sc: 0.5000 0.5000 0.0726  8 Sm 3.39-3.40, 4 Sc 3.47-3.53
Sc: 0.5000 0.5000 0.2176  7 Sc 3.31-3.52, 5 Sm 3.36-3.41
Sc: 0.5000 0.5000 0.7824  7 Sc 3.31-3.52, 5 Sm 3.36-3.41
Sc: 0.5000 0.5000 0.9274  8 Sm 3.39-3.40, 4 Sc 3.47-3.53

(2)
The following is a PBE-GGA calculation of a geometry-optimized Sm7Sc structure, from Alexandria.

As for the space group: Fm-3m (225). The formation energy is 29 meV per atom. The calculation puts the spin magnetization at 0.000 μB/atom. The calculated volume comes out at 259.2 Å³/cell.

a b c (Å): 7.1566 7.1566 7.1566
angles (deg): 60.00 60.00 60.00
With the nearest neighbours (Å) after each atom.
Fractional coordinates of all 8 atoms:
Sm: 0.0000 0.0000 0.0000  12 Sm 3.58
Sm: 0.0000 0.0000 0.5000  10 Sm 3.58, 2 Sc 3.58
Sm: 0.0000 0.5000 0.0000  10 Sm 3.58, 2 Sc 3.58
Sm: 0.0000 0.5000 0.5000  2 Sc 3.58, 10 Sm 3.58
Sm: 0.5000 0.0000 0.0000  10 Sm 3.58, 2 Sc 3.58
Sm: 0.5000 0.0000 0.5000  2 Sc 3.58, 10 Sm 3.58
Sm: 0.5000 0.5000 0.0000  2 Sc 3.58, 10 Sm 3.58
Sc: 0.5000 0.5000 0.5000  12 Sm 3.58

(3)
The following is a PBE-GGA calculation of a geometry-optimized Sm5Sc2 structure, from Alexandria.

As for the space group: C2/m (12). The formation energy is 48 meV per atom. The calculation puts the spin magnetization at 0.000 μB/atom. The calculated volume comes out at 432.8 Å³/cell.

a b c (Å): 11.0825 4.9951 7.9040
angles (deg): 90.00 98.42 90.00
With the nearest neighbours (Å) after each atom.
Fractional coordinates of all 14 atoms:
Sm: 0.0000 0.0000 0.0000  6 Sc 3.48-3.53, 6 Sm 3.49-3.54
Sm: 0.0714 0.5000 0.7235  4 Sc 3.44-3.52, 8 Sm 3.49-3.65
Sm: 0.1446 0.0000 0.4308  9 Sm 3.49-3.58, 3 Sc 3.52-3.57
Sm: 0.3554 0.5000 0.5692  9 Sm 3.49-3.58, 3 Sc 3.52-3.57
Sm: 0.4286 0.0000 0.2765  4 Sc 3.44-3.52, 8 Sm 3.49-3.65
Sm: 0.5000 0.5000 0.0000  6 Sc 3.48-3.53, 6 Sm 3.49-3.54
Sm: 0.5714 0.0000 0.7235  4 Sc 3.44-3.52, 8 Sm 3.49-3.65
Sm: 0.6446 0.5000 0.4308  9 Sm 3.49-3.58, 3 Sc 3.52-3.57
Sm: 0.8554 0.0000 0.5692  9 Sm 3.49-3.58, 3 Sc 3.52-3.57
Sm: 0.9286 0.5000 0.2765  4 Sc 3.44-3.52, 8 Sm 3.49-3.65
Sc: 0.2165 0.5000 0.1387  10 Sm 3.44-3.57, 2 Sc 3.47
Sc: 0.2835 0.0000 0.8613  10 Sm 3.44-3.57, 2 Sc 3.47
Sc: 0.7165 0.0000 0.1387  10 Sm 3.44-3.57, 2 Sc 3.47
Sc: 0.7835 0.5000 0.8613  10 Sm 3.44-3.57, 2 Sc 3.47

(4)
The following is a PBE-GGA calculation of a geometry-optimized SmSc5 structure, from Alexandria.

As for the space group: Cmmm (65). The formation energy is 93 meV per atom. The calculation puts the spin magnetization at 0.000 μB/atom. The calculated volume comes out at 312.1 Å³/cell.

a b c (Å): 5.3106 16.3847 3.5871
angles (deg): 90.00 90.00 90.00
With the nearest neighbours (Å) after each atom.
Fractional coordinates of all 12 atoms:
Sm: 0.0000 0.0000 0.0000  8 Sc 3.20-3.50, 2 Sm 3.59
Sm: 0.5000 0.5000 0.0000  8 Sc 3.20-3.50, 2 Sm 3.59
Sc: 0.0000 0.1834 0.5000  8 Sc 3.18-3.44, 2 Sm 3.50
Sc: 0.0000 0.3439 0.0000  8 Sc 3.12-3.24
Sc: 0.0000 0.5000 0.5000  4 Sc 3.12, 4 Sm 3.20
Sc: 0.0000 0.6561 0.0000  8 Sc 3.12-3.24
Sc: 0.0000 0.8166 0.5000  8 Sc 3.18-3.44, 2 Sm 3.50
Sc: 0.5000 0.0000 0.5000  4 Sc 3.12, 4 Sm 3.20
Sc: 0.5000 0.1561 0.0000  8 Sc 3.12-3.24
Sc: 0.5000 0.3166 0.5000  8 Sc 3.18-3.44, 2 Sm 3.50
Sc: 0.5000 0.6834 0.5000  8 Sc 3.18-3.44, 2 Sm 3.50
Sc: 0.5000 0.8439 0.0000  8 Sc 3.12-3.24

(5)
The following is a PBE-GGA calculation of a geometry-optimized Sm2Sc13 structure, from Alexandria.

As for the space group: P-1 (2). The formation energy is 64 meV per atom. The calculation puts the spin magnetization at 0.000 μB/atom. The calculated volume comes out at 381.7 Å³/cell.

a b c (Å): 6.1083 8.3032 8.3506
angles (deg): 66.42 80.85 81.74
With the nearest neighbours (Å) after each atom.
Fractional coordinates of all 15 atoms:
Sm: 0.0855 0.3073 0.4239  9 Sc 3.13-3.45
Sm: 0.9145 0.6927 0.5761  9 Sc 3.13-3.45
Sc: 0.0000 0.5000 0.0000  12 Sc 3.19-3.56, 2 Sm 3.34
Sc: 0.1090 0.9466 0.7469  6 Sc 2.96-3.30, 1 Sm 3.13
Sc: 0.1866 0.7239 0.1743  9 Sc 3.14-3.49, 2 Sm 3.34-3.43
Sc: 0.2894 0.1200 0.9856  8 Sc 2.94-3.29
Sc: 0.3529 0.4413 0.6666  5 Sc 2.94-3.23, 1 Sm 3.14
Sc: 0.3958 0.9021 0.3955  11 Sc 3.23-3.61, 1 Sm 3.45
Sc: 0.4873 0.6726 0.8445  5 Sc 2.96-3.20, 1 Sm 3.13
Sc: 0.5127 0.3274 0.1555  5 Sc 2.96-3.20, 1 Sm 3.13
Sc: 0.6042 0.0979 0.6045  11 Sc 3.23-3.61, 1 Sm 3.45
Sc: 0.6471 0.5587 0.3334  5 Sc 2.94-3.23, 1 Sm 3.14
Sc: 0.7106 0.8800 0.0144  8 Sc 2.94-3.29
Sc: 0.8134 0.2761 0.8257  9 Sc 3.14-3.49, 2 Sm 3.34-3.43
Sc: 0.8910 0.0534 0.2531  6 Sc 2.96-3.30, 1 Sm 3.13

(6)
The following is a PBE-GGA calculation of a geometry-optimized Sm3Sc structure, from Alexandria.

As for the space group: I4/mmm (139). The formation energy is 42 meV per atom. The calculation puts the spin magnetization at 0.000 μB/atom. The calculated volume comes out at 250.0 Å³/cell.

a b c (Å): 5.0218 5.0218 9.9133
angles (deg): 90.00 90.00 90.00
With the nearest neighbours (Å) after each atom.
Fractional coordinates of all 8 atoms:
Sm: 0.0000 0.0000 0.0000  8 Sm 3.53, 4 Sc 3.55
Sm: 0.0000 0.5000 0.2500  4 Sc 3.53, 8 Sm 3.53-3.55
Sm: 0.0000 0.5000 0.7500  4 Sc 3.53, 8 Sm 3.53-3.55
Sm: 0.5000 0.0000 0.2500  4 Sc 3.53, 8 Sm 3.53-3.55
Sm: 0.5000 0.0000 0.7500  4 Sc 3.53, 8 Sm 3.53-3.55
Sm: 0.5000 0.5000 0.5000  8 Sm 3.53, 4 Sc 3.55
Sc: 0.0000 0.0000 0.5000  12 Sm 3.53-3.55
Sc: 0.5000 0.5000 0.0000  12 Sm 3.53-3.55

(7)
The following is a PBE-GGA calculation of a geometry-optimized Sm3Sc2 structure, from Alexandria.

As for the space group: P-1 (2). The formation energy is 46 meV per atom. The calculation puts the spin magnetization at 0.000 μB/atom. The calculated volume comes out at 301.2 Å³/cell.

a b c (Å): 6.1475 6.5722 8.2558
angles (deg): 102.64 111.67 90.06
With the nearest neighbours (Å) after each atom.
Fractional coordinates of all 10 atoms:
Sm: 0.0263 0.4451 0.2079  6 Sc 3.38-3.63, 6 Sm 3.47-3.65
Sm: 0.2245 0.8502 0.5941  7 Sc 3.40-3.66, 5 Sm 3.47-3.53
Sm: 0.4064 0.2475 0.9917  5 Sc 3.42-3.62, 7 Sm 3.47-3.65
Sm: 0.5936 0.7525 0.0083  5 Sc 3.42-3.62, 7 Sm 3.47-3.65
Sm: 0.7755 0.1498 0.4059  7 Sc 3.40-3.66, 5 Sm 3.47-3.53
Sm: 0.9737 0.5549 0.7921  6 Sc 3.38-3.63, 6 Sm 3.47-3.65
Sc: 0.1881 0.9479 0.1970  3 Sc 3.39-3.54, 9 Sm 3.40-3.66
Sc: 0.3935 0.3469 0.5977  3 Sc 3.37-3.54, 9 Sm 3.38-3.64
Sc: 0.6065 0.6531 0.4023  3 Sc 3.37-3.54, 9 Sm 3.38-3.64
Sc: 0.8119 0.0521 0.8030  3 Sc 3.39-3.54, 9 Sm 3.40-3.66

(8)
The following is a PBE-GGA calculation of a geometry-optimized Sm3Sc structure, from Alexandria.

As for the space group: Cmcm (63). The formation energy is 59 meV per atom. The calculation puts the spin magnetization at 0.000 μB/atom. The calculated volume comes out at 505.8 Å³/cell.

a b c (Å): 3.5182 25.7990 5.5729
angles (deg): 90.00 90.00 90.00
With the nearest neighbours (Å) after each atom.
Fractional coordinates of all 16 atoms:
Sm: 0.0000 0.0431 0.2500  2 Sc 3.44, 10 Sm 3.50-3.84
Sm: 0.0000 0.2116 0.7500  5 Sc 3.37-3.58, 4 Sm 3.52-3.61
Sm: 0.0000 0.4107 0.2500  2 Sc 3.30, 8 Sm 3.50-3.61
Sm: 0.0000 0.5893 0.7500  2 Sc 3.30, 8 Sm 3.50-3.61
Sm: 0.0000 0.7884 0.2500  5 Sc 3.37-3.58, 4 Sm 3.52-3.61
Sm: 0.0000 0.9569 0.7500  2 Sc 3.44, 10 Sm 3.50-3.84
Sm: 0.5000 0.0893 0.7500  2 Sc 3.30, 8 Sm 3.50-3.61
Sm: 0.5000 0.2884 0.2500  5 Sc 3.37-3.58, 4 Sm 3.52-3.61
Sm: 0.5000 0.4569 0.7500  2 Sc 3.44, 10 Sm 3.50-3.84
Sm: 0.5000 0.5431 0.2500  2 Sc 3.44, 10 Sm 3.50-3.84
Sm: 0.5000 0.7116 0.7500  5 Sc 3.37-3.58, 4 Sm 3.52-3.61
Sm: 0.5000 0.9107 0.2500  2 Sc 3.30, 8 Sm 3.50-3.61
Sc: 0.0000 0.3424 0.7500  9 Sm 3.30-3.58, 2 Sc 3.52
Sc: 0.0000 0.6576 0.2500  9 Sm 3.30-3.58, 2 Sc 3.52
Sc: 0.5000 0.1576 0.2500  9 Sm 3.30-3.58, 2 Sc 3.52
Sc: 0.5000 0.8424 0.7500  9 Sm 3.30-3.58, 2 Sc 3.52

(9)
The following is a PBE-GGA calculation of a geometry-optimized Sm2Sc structure, from Alexandria.

As for the space group: Immm (71). The formation energy is 45 meV per atom. The calculation puts the spin magnetization at 0.000 μB/atom. The calculated volume comes out at 181.9 Å³/cell.

a b c (Å): 3.5306 4.9137 10.4842
angles (deg): 90.00 90.00 90.00
With the nearest neighbours (Å) after each atom.
Fractional coordinates of all 6 atoms:
Sm: 0.0000 0.0000 0.1629  7 Sm 3.42-3.53, 5 Sc 3.47-3.53
Sm: 0.0000 0.0000 0.8371  7 Sm 3.42-3.53, 5 Sc 3.47-3.53
Sm: 0.5000 0.5000 0.3371  7 Sm 3.42-3.53, 5 Sc 3.47-3.53
Sm: 0.5000 0.5000 0.6629  7 Sm 3.42-3.53, 5 Sc 3.47-3.53
Sc: 0.0000 0.0000 0.5000  10 Sm 3.47-3.53, 2 Sc 3.53
Sc: 0.5000 0.5000 0.0000  10 Sm 3.47-3.53, 2 Sc 3.53

(10)
The following is a PBE-GGA calculation of a geometry-optimized Sm3Sc5 structure, from Alexandria.

As for the space group: Pmm2 (25). The formation energy is 55 meV per atom. The calculation puts the spin magnetization at 0.197 μB/atom. The calculated volume comes out at 224.2 Å³/cell.

a b c (Å): 3.4492 5.4255 11.9785
angles (deg): 90.00 90.00 90.00
With the nearest neighbours (Å) after each atom.
Fractional coordinates of all 8 atoms:
Sm: 0.0000 0.0000 0.0000  6 Sc 3.38-3.41, 6 Sm 3.45-3.76
Sm: 0.0000 0.5000 0.1853  8 Sm 3.40-3.51, 4 Sc 3.58-3.69
Sm: 0.5000 0.0000 0.2786  4 Sc 3.38-3.42, 8 Sm 3.40-3.76
Sc: 0.0000 0.0000 0.5248  10 Sc 3.24-3.45, 2 Sm 3.42
Sc: 0.0000 0.5000 0.6808  12 Sc 3.27-3.45
Sc: 0.5000 0.0000 0.7541  10 Sc 3.24-3.45, 2 Sm 3.41
Sc: 0.5000 0.5000 0.4470  8 Sc 3.29-3.45, 4 Sm 3.38-3.58
Sc: 0.5000 0.5000 0.9130  6 Sc 3.27-3.45, 4 Sm 3.38

(11)
The following is a PBE-GGA calculation of a geometry-optimized Sm2Sc structure, from Alexandria.

As for the space group: I4/mmm (139). The formation energy is 105 meV per atom. The calculation puts the spin magnetization at 0.001 μB/atom. The calculated volume comes out at 184.4 Å³/cell.

a b c (Å): 4.0222 4.0222 11.3960
angles (deg): 90.00 90.00 90.00
With the nearest neighbours (Å) after each atom.
Fractional coordinates of all 6 atoms:
Sm: 0.0000 0.0000 0.1551  4 Sc 3.35, 5 Sm 3.53-3.57
Sm: 0.0000 0.0000 0.8449  4 Sc 3.35, 5 Sm 3.53-3.57
Sm: 0.5000 0.5000 0.3449  4 Sc 3.35, 5 Sm 3.53-3.57
Sm: 0.5000 0.5000 0.6551  4 Sc 3.35, 5 Sm 3.53-3.57
Sc: 0.0000 0.0000 0.5000  8 Sm 3.35
Sc: 0.5000 0.5000 0.0000  8 Sm 3.35

(12)
The following is a PBE-GGA calculation of a geometry-optimized Sm3Sc2 structure, from Alexandria.

As for the space group: C2/c (15). The formation energy is 43 meV per atom. The calculation puts the spin magnetization at 0.000 μB/atom. The calculated volume comes out at 301.0 Å³/cell.

a b c (Å): 6.5776 6.5776 9.0159
angles (deg): 107.91 107.91 55.37
With the nearest neighbours (Å) after each atom.
Fractional coordinates of all 10 atoms:
Sm: 0.0252 0.3606 0.6493  6 Sc 3.40-3.57, 6 Sm 3.43-3.57
Sm: 0.1790 0.8210 0.7500  6 Sm 3.43-3.52, 6 Sc 3.45-3.62
Sm: 0.3606 0.0252 0.1493  6 Sc 3.40-3.57, 6 Sm 3.43-3.57
Sm: 0.6394 0.9748 0.8507  6 Sc 3.40-3.57, 6 Sm 3.43-3.57
Sm: 0.8210 0.1790 0.2500  6 Sm 3.43-3.52, 6 Sc 3.45-3.62
Sm: 0.9748 0.6394 0.3507  6 Sc 3.40-3.57, 6 Sm 3.43-3.57
Sc: 0.2351 0.5608 0.0496  9 Sm 3.40-3.62, 3 Sc 3.42-3.57
Sc: 0.4392 0.7649 0.4504  9 Sm 3.40-3.62, 3 Sc 3.42-3.57
Sc: 0.5608 0.2351 0.5496  9 Sm 3.40-3.62, 3 Sc 3.42-3.57
Sc: 0.7649 0.4392 0.9504  9 Sm 3.40-3.62, 3 Sc 3.42-3.57